Record 1
Compound: BaTa2Rh
Source: Alexandria via LeMat-Bulk
Functional: PBEsol
Structure: optimized geometry

Properties
Space-group type: P4mm, No. 99
Offset from the most stable computed form, kJ/mol of formula units: 0

Lattice parameters (Å, degrees): 3.148 3.148 8.779 90.00 90.00 90.00
Element x y z (fractional)
Ba1 0.000 0.000 0.000
Ta1 0.000 0.000 0.448
Ta2 0.500 0.500 0.660
Rh1 0.500 0.500 0.294

***

Record 2
Compound: BaTa2Rh
Source: Alexandria via LeMat-Bulk
Functional: PBEsol
Structure: optimized geometry

Properties
Space-group type: R-3m, No. 166
Offset from the most stable computed form, kJ/mol of formula units: 166

Lattice parameters (Å, degrees): 10.590 10.590 10.590 16.42 16.42 16.42
Element x y z (fractional)
Ba1 0.000 0.000 0.000
Ta1 0.233 0.233 0.233
Ta2 0.767 0.767 0.767
Rh1 0.500 0.500 0.500

***

Record 3
Compound: BaTa2Rh
Source: Alexandria via LeMat-Bulk
Functional: PBEsol
Structure: optimized geometry

Properties
Space-group type: P4/mmm, No. 123
Offset from the most stable computed form, kJ/mol of formula units: 97

Lattice parameters (Å, degrees): 3.321 3.321 7.968 90.00 90.00 90.00
Element x y z (fractional)
Ba1 0.000 0.000 0.000
Ta1 0.500 0.500 0.335
Ta2 0.500 0.500 0.665
Rh1 0.000 0.000 0.500

***

Record 4
Compound: Ba2TcRh
Source: Alexandria via LeMat-Bulk
Functional: PBEsol
Structure: optimized geometry

Properties
Space-group type: R-3m, No. 166
Offset from the most stable computed form, kJ/mol of formula units: 57

Lattice parameters (Å, degrees): 9.663 9.663 9.663 20.93 20.93 20.93
Element x y z (fractional)
Ba1 0.246 0.246 0.246
Ba2 0.754 0.754 0.754
Tc1 0.000 0.000 0.000
Rh1 0.500 0.500 0.500

***

Record 5
Compound: Ba2TcRh
Source: Alexandria via LeMat-Bulk
Functional: PBEsol
Structure: optimized geometry

Properties
Space-group type: P4/mmm, No. 123
Offset from the most stable computed form, kJ/mol of formula units: 0

Lattice parameters (Å, degrees): 3.454 3.454 8.603 90.00 90.00 90.00
Element x y z (fractional)
Ba1 0.000 0.000 0.234
Ba2 0.000 0.000 0.766
Tc1 0.500 0.500 0.500
Rh1 0.500 0.500 0.000

***

Record 6
Compound: BaTe2Rh
Source: Alexandria via LeMat-Bulk
Functional: PBEsol
Structure: optimized geometry

Properties
Formation energy from raw total energies, eV/atom: -0.384
Space-group type: R-3m, No. 166
Offset from the most stable computed form, kJ/mol of formula units: 156

Lattice parameters (Å, degrees): 9.690 9.690 9.690 24.03 24.03 24.03
Element x y z (fractional)
Ba1 0.000 0.000 0.000
Te1 0.121 0.121 0.121
Te2 0.879 0.879 0.879
Rh1 0.500 0.500 0.500

***

Record 7
Compound: Ba2TeRh
Source: Alexandria via LeMat-Bulk
Functional: PBEsol
Structure: optimized geometry

Properties
Formation energy from raw total energies, eV/atom: -0.698
Space-group type: Cm, No. 8

Lattice parameters (Å, degrees): 6.372 6.372 4.731 90.01 90.01 43.44
Element x y z (fractional)
Ba1 0.000 0.000 0.000
Ba2 0.721 0.721 0.499
Te1 0.423 0.423 0.500
Rh1 0.317 0.317 0.000

***

Record 8
Compound: BaTe2Rh2
Source: Alexandria via LeMat-Bulk
Functional: PBEsol
Structure: optimized geometry

Properties
Formation energy from raw total energies, eV/atom: -0.596
Space-group type: I4/mmm, No. 139

Lattice parameters (Å, degrees): 5.981 5.981 5.981 131.61 131.61 70.85
Element x y z (fractional)
Ba1 0.000 0.000 0.000
Te1 0.250 0.750 0.500
Te2 0.750 0.250 0.500
Rh1 0.357 0.357 0.000
Rh2 0.643 0.643 0.000

***

Record 9
Compound: BaTe2Rh
Source: Alexandria via LeMat-Bulk
Functional: PBEsol
Structure: optimized geometry

Properties
Formation energy from raw total energies, eV/atom: -0.751
Space-group type: Immm, No. 71
Offset from the most stable computed form, kJ/mol of formula units: 15

Lattice parameters (Å, degrees): 5.895 5.895 5.895 140.13 115.07 78.97
Element x y z (fractional)
Ba1 0.000 0.000 0.000
Te1 0.319 0.819 0.500
Te2 0.681 0.181 0.500
Rh1 0.500 0.500 0.000

***

Record 10
Compound: BaTe2Rh
Source: Alexandria via LeMat-Bulk
Functional: PBEsol
Structure: optimized geometry

Properties
Formation energy from raw total energies, eV/atom: -0.789
Space-group type: Cmmm, No. 65
Offset from the most stable computed form, kJ/mol of formula units: 0

Lattice parameters (Å, degrees): 5.417 5.417 4.124 90.00 90.00 107.55
Element x y z (fractional)
Ba1 0.000 0.000 0.000
Te1 0.316 0.684 0.500
Te2 0.684 0.316 0.500
Rh1 0.500 0.500 0.000

***

Record 11
Compound: BaTe2Rh
Source: Alexandria via LeMat-Bulk
Functional: PBEsol
Structure: optimized geometry

Properties
Formation energy from raw total energies, eV/atom: -0.735
Space-group type: Cm, No. 8
Offset from the most stable computed form, kJ/mol of formula units: 21

Lattice parameters (Å, degrees): 5.971 5.971 5.842 114.09 114.09 39.51
Element x y z (fractional)
Ba1 0.000 0.000 0.000
Te1 0.640 0.640 0.688
Te2 0.813 0.813 0.354
Rh1 0.236 0.236 0.547

***

Record 12
Compound: BaTiRh3
Source: Alexandria via LeMat-Bulk
Functional: PBEsol
Structure: optimized geometry

Properties
Calculated total energy, eV/atom: -6.8681
Space-group type: Pm-3m, No. 221

Lattice parameters (Å, degrees): 4.667 4.667 4.667 90.00 90.00 90.00
Element x y z (fractional)
Ba1 0.000 0.000 0.000
Ti1 0.500 0.500 0.500
Rh1 0.000 0.500 0.500
Rh2 0.500 0.000 0.500
Rh3 0.500 0.500 0.000